DFT (PBE-GGA) results for H2Pd6Se after structural relaxation.

Output
E above lowest polymorph ... 0.006 eV/atom
Total magnetic moment ... 0.00 μB/f.u.

a b c (Å): 5.041 5.277 5.283
angles (deg): 119.12 90.26 90.37
Space group P-1 (No. 2)
One atom of each set of equivalent atoms:
1 H 0.001 0.328 0.174 [2 per cell]
2 Pd 0.235 0.007 0.879 [2 per cell]
3 Pd 0.235 0.379 0.507 [2 per cell]
4 Pd 0.235 0.627 0.127 [2 per cell]
5 Se 0.500 0.000 0.500 [1 per cell]